1.
The following is a DFT calculation (GGA-PBEsol) of crystalline BaMoIrI2 at its relaxed geometry.

**Space group**: P4/mmm, No. 123
**DFT total energy**: -18.9 eV per cell
**Theoretical density**: 5.15 Mg/m³
**Density of states at the Fermi level**: 1.1255 states/eV/atom
**Magnetic moment**: 6.3 μB/f.u.

```
BaMoIrI2
1.0
6.429 0.000 0.000
0.000 6.429 0.000
0.000 0.000 5.301
Ba Mo Ir I
1 1 1 2
Direct
0.000 0.000 0.000
0.500 0.500 0.500
0.000 0.000 0.500
0.000 0.500 0.000
0.500 0.000 0.000
```

=====

2.
The following is a DFT calculation (GGA-PBEsol) of crystalline RbBa2IrI at its relaxed geometry.

**Space group**: P4/mmm, No. 123
**DFT total energy**: -17.3 eV per cell
**Theoretical density**: 5.44 Mg/m³
**Density of states at the Fermi level**: 0.4605 states/eV/atom
**Magnetic moment**: 0.0 μB/f.u.

```
RbBa2IrI
1.0
6.010 0.000 0.000
0.000 6.010 0.000
0.000 0.000 5.737
Rb Ba Ir I
1 2 1 1
Direct
0.000 0.000 0.000
0.000 0.500 0.500
0.500 0.000 0.500
0.500 0.500 0.500
0.500 0.500 0.000
```

=====

3.
The following is a DFT calculation (GGA-PBEsol) of crystalline BaIrRhI2 at its relaxed geometry.

**Space group**: P4/mmm, No. 123
**DFT total energy**: -23.9 eV per cell
**Theoretical density**: 8.10 Mg/m³
**Density of states at the Fermi level**: 0.4250 states/eV/atom
**Magnetic moment**: 0.0 μB/f.u.

```
BaIrRhI2
1.0
5.413 0.000 0.000
0.000 5.413 0.000
0.000 0.000 4.798
Ba Ir Rh I
1 1 1 2
Direct
0.000 0.000 0.000
0.500 0.500 0.500
0.500 0.500 0.000
0.000 0.500 0.500
0.500 0.000 0.500
```

=====

4.
The following is a DFT calculation (GGA-PBEsol) of crystalline K3BaI at its relaxed geometry.

**Space group**: Pm-3m, No. 221
**DFT total energy**: -9.0 eV per cell
**Theoretical density**: 1.99 Mg/m³
**Density of states at the Fermi level**: 1.1616 states/eV/atom
**Magnetic moment**: 1.1 μB/f.u.

```
K3BaI
1.0
6.831 0.000 0.000
0.000 6.831 0.000
0.000 0.000 6.831
K Ba I
3 1 1
Direct
0.000 0.000 0.500
0.000 0.500 0.000
0.500 0.000 0.000
0.500 0.500 0.500
0.000 0.000 0.000
```

=====

5.
The following is a DFT calculation (GGA-PBEsol) of crystalline KBaI2O at its relaxed geometry.

**Space group**: P4/mmm, No. 123
**DFT total energy**: -18.5 eV per cell
**Theoretical density**: 3.57 Mg/m³
**Density of states at the Fermi level**: 0.8856 states/eV/atom
**Magnetic moment**: 0.1 μB/f.u.

```
KBaI2O
1.0
6.796 0.000 0.000
0.000 6.796 0.000
0.000 0.000 4.490
K Ba I O
1 1 2 1
Direct
0.000 0.000 0.000
0.500 0.500 0.500
0.000 0.500 0.500
0.500 0.000 0.500
0.500 0.500 0.000
```

=====

6.
The following is a DFT calculation (GGA-PBEsol) of crystalline KBaSb2I at its relaxed geometry.

**Space group**: P4/mmm, No. 123
**DFT total energy**: -14.1 eV per cell
**Theoretical density**: 4.46 Mg/m³
**Density of states at the Fermi level**: 1.2817 states/eV/atom
**Magnetic moment**: 0.0 μB/f.u.

```
KBaSb2I
1.0
5.774 0.000 0.000
0.000 5.774 0.000
0.000 0.000 6.109
K Ba Sb I
1 1 2 1
Direct
0.000 0.000 0.000
0.500 0.500 0.500
0.000 0.500 0.000
0.500 0.000 0.000
0.000 0.000 0.500
```

=====

7.
The following is a DFT calculation (GGA-PBEsol) of crystalline BaLaI5 at its relaxed geometry.

**Space group**: P1, No. 1
**DFT total energy**: -55.2 eV per cell
**Theoretical density**: 5.58 Mg/m³
**Density of states at the Fermi level**: 0.0000 states/eV/atom
**Magnetic moment**: 0.0 μB/f.u.

```
BaLaI5
1.0
6.319 0.000 0.000
0.507 7.837 0.000
3.154 0.007 10.946
Ba La I
2 2 10
Direct
0.000 0.000 0.000
0.345 0.499 0.307
0.622 0.535 0.812
0.781 0.035 0.495
0.058 0.550 0.917
0.321 0.051 0.390
0.423 0.892 0.726
0.485 0.778 0.052
0.488 0.261 0.030
0.495 0.392 0.581
0.865 0.763 0.276
0.882 0.279 0.255
0.926 0.187 0.721
0.993 0.687 0.586
```

=====

8.
The following is a DFT calculation (GGA-PBEsol) of crystalline BaLaI5 at its relaxed geometry.

**Space group**: P2_1, No. 4
**DFT total energy**: -109.3 eV per cell
**Theoretical density**: 5.11 Mg/m³
**Density of states at the Fermi level**: 0.0000 states/eV/atom
**Magnetic moment**: 0.0 μB/f.u.

```
BaLaI5
1.0
7.832 0.000 0.000
0.000 13.617 0.000
-0.196 0.000 11.093
Ba La I
4 4 20
Direct
0.013 0.000 0.217
0.441 0.812 0.671
0.559 0.312 0.329
0.987 0.500 0.783
0.061 0.573 0.372
0.464 0.173 0.886
0.536 0.673 0.114
0.939 0.073 0.628
0.034 0.715 0.596
0.082 0.253 0.792
0.201 0.984 0.834
0.244 0.983 0.478
0.246 0.681 0.911
0.264 0.194 0.130
0.269 0.433 0.541
0.295 0.483 0.165
0.426 0.691 0.389
0.441 0.895 0.133
0.559 0.395 0.867
0.574 0.191 0.611
0.705 0.983 0.835
0.731 0.933 0.459
0.736 0.694 0.870
0.754 0.181 0.089
0.756 0.483 0.522
0.799 0.484 0.166
0.918 0.753 0.208
0.966 0.215 0.404
```